Record 1
Entry from the Alexandria database: NdLuIr after structural relaxation (GGA-PBE).

## Properties
Formation energy in eV/atom: -0.6255

abc: 6.8497 6.8497 6.8497
angles: 90.00 90.00 90.00
Space group F-43m (No. 216)
Inequivalent atoms, fractional coordinates:
Nd1 0.0000 0.0000 0.0000 (multiplicity 4)
Lu1 0.0000 0.0000 0.5000 (multiplicity 4)
Ir1 0.2500 0.2500 0.7500 (multiplicity 4)

=====

Record 2
Entry from the Alexandria database: NdLuIrPd after structural relaxation (GGA-PBE).

## Properties
Formation energy in eV/atom: -0.8167

abc: 6.9820 6.9820 6.9820
angles: 90.00 90.00 90.00
Space group F-43m (No. 216)
Inequivalent atoms, fractional coordinates:
Nd1 0.0000 0.0000 0.0000 (multiplicity 4)
Lu1 0.0000 0.0000 0.5000 (multiplicity 4)
Ir1 0.2500 0.2500 0.2500 (multiplicity 4)
Pd1 0.2500 0.2500 0.7500 (multiplicity 4)

=====

Record 3
Entry from the Alexandria database: NdLuIrPt after structural relaxation (GGA-PBE).

## Properties
Formation energy in eV/atom: -0.9289

abc: 6.9757 6.9757 6.9757
angles: 90.00 90.00 90.00
Space group F-43m (No. 216)
Inequivalent atoms, fractional coordinates:
Nd1 0.0000 0.0000 0.0000 (multiplicity 4)
Lu1 0.0000 0.0000 0.5000 (multiplicity 4)
Ir1 0.2500 0.2500 0.7500 (multiplicity 4)
Pt1 0.2500 0.2500 0.2500 (multiplicity 4)

=====

Record 4
Entry from the Alexandria database: NdLuIrRu after structural relaxation (GGA-PBE).

## Properties
Formation energy in eV/atom: -0.4994

abc: 6.8760 6.8760 6.8760
angles: 90.00 90.00 90.00
Space group F-43m (No. 216)
Inequivalent atoms, fractional coordinates:
Nd1 0.0000 0.0000 0.0000 (multiplicity 4)
Lu1 0.0000 0.0000 0.5000 (multiplicity 4)
Ir1 0.2500 0.2500 0.2500 (multiplicity 4)
Ru1 0.2500 0.2500 0.7500 (multiplicity 4)

=====

Record 5
Entry from the Alexandria database: NdLuZnIr after structural relaxation (GGA-PBE).

## Properties
Formation energy in eV/atom: -0.5665

abc: 7.0244 7.0244 7.0244
angles: 90.00 90.00 90.00
Space group F-43m (No. 216)
Inequivalent atoms, fractional coordinates:
Nd1 0.0000 0.0000 0.0000 (multiplicity 4)
Lu1 0.0000 0.0000 0.5000 (multiplicity 4)
Zn1 0.2500 0.2500 0.2500 (multiplicity 4)
Ir1 0.2500 0.2500 0.7500 (multiplicity 4)

=====

Record 6
Entry from the Alexandria database: Lu2NiIr after structural relaxation (GGA-PBE).

## Properties
Formation energy in eV/atom: -0.7491

abc: 4.7642 4.7642 3.2643
angles: 90.00 90.00 90.00
Space group P4/mmm (No. 123)
Inequivalent atoms, fractional coordinates:
Lu1 0.0000 0.5000 0.0000 (multiplicity 2)
Ni1 0.0000 0.0000 0.5000 (multiplicity 1)
Ir1 0.5000 0.5000 0.5000 (multiplicity 1)

=====

Record 7
Entry from the Alexandria database: LuNi4Ir after structural relaxation (GGA-PBE).

## Properties
Formation energy in eV/atom: -0.2988

abc: 6.8319 6.8319 6.8319
angles: 90.00 90.00 90.00
Space group F-43m (No. 216)
Inequivalent atoms, fractional coordinates:
Lu1 0.0000 0.0000 0.0000 (multiplicity 4)
Ni1 0.1240 0.1240 0.6240 (multiplicity 16)
Ir1 0.2500 0.2500 0.2500 (multiplicity 4)

=====

Record 8
Entry from the Alexandria database: Lu2NiIr after structural relaxation (GGA-PBE).

## Properties
Formation energy in eV/atom: -0.7705

abc: 6.6656 6.6656 6.6656
angles: 90.00 90.00 90.00
Space group Fm-3m (No. 225)
Inequivalent atoms, fractional coordinates:
Lu1 0.2500 0.2500 0.2500 (multiplicity 8)
Ni1 0.0000 0.0000 0.0000 (multiplicity 4)
Ir1 0.0000 0.0000 0.5000 (multiplicity 4)

=====

Record 9
Entry from the Alexandria database: LuPaNiIr after structural relaxation (GGA-PBE).

## Properties
Formation energy in eV/atom: -0.5656

abc: 6.7883 6.7883 6.7883
angles: 90.00 90.00 90.00
Space group F-43m (No. 216)
Inequivalent atoms, fractional coordinates:
Lu1 0.0000 0.0000 0.0000 (multiplicity 4)
Pa1 0.0000 0.0000 0.5000 (multiplicity 4)
Ni1 0.2500 0.2500 0.2500 (multiplicity 4)
Ir1 0.2500 0.2500 0.7500 (multiplicity 4)

=====

Record 10
Entry from the Alexandria database: PmLuNiIr after structural relaxation (GGA-PBE).

## Properties
Formation energy in eV/atom: -0.5930

abc: 6.8438 6.8438 6.8438
angles: 90.00 90.00 90.00
Space group F-43m (No. 216)
Inequivalent atoms, fractional coordinates:
Pm1 0.0000 0.0000 0.0000 (multiplicity 4)
Lu1 0.0000 0.0000 0.5000 (multiplicity 4)
Ni1 0.2500 0.2500 0.2500 (multiplicity 4)
Ir1 0.2500 0.2500 0.7500 (multiplicity 4)

=====

Record 11
Entry from the Alexandria database: LuNiSbIr after structural relaxation (GGA-PBE).

abc: 6.5441 6.5441 6.5441
angles: 90.00 90.00 90.00
Space group F-43m (No. 216)
Inequivalent atoms, fractional coordinates:
Lu1 0.0000 0.0000 0.0000 (multiplicity 4)
Ni1 0.2500 0.2500 0.2500 (multiplicity 4)
Sb1 0.0000 0.0000 0.5000 (multiplicity 4)
Ir1 0.2500 0.2500 0.7500 (multiplicity 4)

=====

Record 12
Entry from the Alexandria database: LuScNiIr after structural relaxation (GGA-PBE).

## Properties
Formation energy in eV/atom: -0.7715

abc: 6.5448 6.5448 6.5448
angles: 90.00 90.00 90.00
Space group F-43m (No. 216)
Inequivalent atoms, fractional coordinates:
Lu1 0.0000 0.0000 0.0000 (multiplicity 4)
Sc1 0.0000 0.0000 0.5000 (multiplicity 4)
Ni1 0.2500 0.2500 0.2500 (multiplicity 4)
Ir1 0.2500 0.2500 0.7500 (multiplicity 4)

=====

no.,DOS at the Fermi energy (states/eV/cell),raw total energy (eV/atom)
1,13.35,-6.68
2,7.27,-6.65
3,7.36,-6.98
4,12.19,-7.36
5,10.66,-5.42
6,1.88,-6.67
7,40.27,-6.38
8,7.89,-6.69
9,18.98,-7.73
10,8.93,-6.57
11,13.41,-6.30
12,6.69,-7.15